# Sm2Zn2FeRh5

Sm2Zn2FeRh5 after structural relaxation (PBE-GGA, the Alexandria database).

Summary:
For the energy of formation from the pure elements, the calculation gives -425 meV/atom. The calculation puts the magnetic moment at 4.349 μB/f.u. For the density of states at the Fermi level, the calculation gives 10.4 states/eV per cell.

Cell lengths 9.8264, 9.8264, 3.5135 Å; angles 90.00, 90.00, 90.00 degrees
Closest atoms and distances in Å follow each position.
Space group P4/mbm (No. 127)
One atom of each set of equivalent atoms:
Sm  0.1732  0.3268  0.0000 x4  3 Zn 2.78-2.98, 2 Rh 2.98
Zn  0.1267  0.6267  0.0000 x4  6 Rh 2.49-2.55, 1 Sm 2.78
Fe  0.0000  0.0000  0.0000 x2  8 Rh 2.68
Rh  0.0000  0.5000  0.5000 x2  4 Zn 2.49
Rh  0.0617  0.8033  0.5000 x8  2 Zn 2.55, 2 Fe 2.68